The following is a DFT calculation (PBEsol) of a geometry-optimized SrCdH3 structure.

Results
Magnetization   0.000 μB/atom
Excess energy over the best structure of this formula in the dataset   0.318 eV/atom

CIF file:
```
data_SrCdH3
_space_group_name_H-M_alt 'P m -3 m'
_space_group_IT_number 221
_space_group_name_Hall '-P 4 2 3'
_cell_length_a 4.420
_cell_length_b 4.420
_cell_length_c 4.420
_cell_angle_alpha 90.00
_cell_angle_beta 90.00
_cell_angle_gamma 90.00
loop_
_atom_site_label
_atom_site_type_symbol
_atom_site_fract_x
_atom_site_fract_y
_atom_site_fract_z
Sr1 Sr 0.000 0.000 0.000
Cd1 Cd 0.500 0.500 0.500
H1 H 0.000 0.000 0.500
```

The following is a DFT calculation (PBEsol) of a geometry-optimized Sc3BiC structure.

Results
Magnetization   0.000 μB/atom
Electronic total energy   -7.473 eV per atom

CIF file:
```
data_Sc3BiC
_space_group_name_H-M_alt 'P m -3 m'
_space_group_IT_number 221
_space_group_name_Hall '-P 4 2 3'
_cell_length_a 4.520
_cell_length_b 4.520
_cell_length_c 4.520
_cell_angle_alpha 90.00
_cell_angle_beta 90.00
_cell_angle_gamma 90.00
loop_
_atom_site_label
_atom_site_type_symbol
_atom_site_fract_x
_atom_site_fract_y
_atom_site_fract_z
Sc1 Sc 0.000 0.000 0.500
Bi1 Bi 0.500 0.500 0.500
C1 C 0.000 0.000 0.000
```

The following is a DFT calculation (PBEsol) of a geometry-optimized RbCdBiCl2 structure.

Results
Magnetization   0.381 μB/atom
Raw formation energy   0.05 eV per atom

CIF file:
```
data_RbCdBiCl2
_space_group_name_H-M_alt 'P 4/m m m'
_space_group_IT_number 123
_space_group_name_Hall '-P 4 2'
_cell_length_a 5.739
_cell_length_b 5.739
_cell_length_c 6.077
_cell_angle_alpha 90.00
_cell_angle_beta 90.00
_cell_angle_gamma 90.00
loop_
_atom_site_label
_atom_site_type_symbol
_atom_site_fract_x
_atom_site_fract_y
_atom_site_fract_z
Rb1 Rb 0.000 0.000 0.000
Cd1 Cd 0.000 0.000 0.500
Bi1 Bi 0.500 0.500 0.500
Cl1 Cl 0.000 0.500 0.000
```

The following is a DFT calculation (PBEsol) of a geometry-optimized Cd2CoAg structure.

Results
Magnetization   0.283 μB/atom
Electronic total energy   -3.161 eV per atom

CIF file:
```
data_Cd2CoAg
_space_group_name_H-M_alt 'P 4/m m m'
_space_group_IT_number 123
_space_group_name_Hall '-P 4 2'
_cell_length_a 4.217
_cell_length_b 4.217
_cell_length_c 3.660
_cell_angle_alpha 90.00
_cell_angle_beta 90.00
_cell_angle_gamma 90.00
loop_
_atom_site_label
_atom_site_type_symbol
_atom_site_fract_x
_atom_site_fract_y
_atom_site_fract_z
Cd1 Cd 0.000 0.500 0.000
Co1 Co 0.000 0.000 0.500
Ag1 Ag 0.500 0.500 0.500
```

The following is a DFT calculation (PBEsol) of a geometry-optimized BaCa3Pt structure.

Results
Magnetization   0.000 μB/atom
Excess energy over the best structure of this formula in the dataset   0.000 eV/atom

CIF file:
```
data_BaCa3Pt
_space_group_name_H-M_alt 'I 4 m m'
_space_group_IT_number 107
_space_group_name_Hall 'I 4 -2'
_cell_length_a 5.667
_cell_length_b 5.667
_cell_length_c 11.714
_cell_angle_alpha 90.00
_cell_angle_beta 90.00
_cell_angle_gamma 90.00
loop_
_atom_site_label
_atom_site_type_symbol
_atom_site_fract_x
_atom_site_fract_y
_atom_site_fract_z
Ba1 Ba 0.000 0.000 0.000
Ca1 Ca 0.000 0.000 0.494
Ca2 Ca 0.000 0.500 0.248
Pt1 Pt 0.000 0.000 0.259
```

The following is a DFT calculation (PBEsol) of a geometry-optimized Rb3SbF structure.

Results
Magnetization   0.204 μB/atom
Raw formation energy   -1.22 eV per atom

CIF file:
```
data_Rb3SbF
_space_group_name_H-M_alt 'P m -3 m'
_space_group_IT_number 221
_space_group_name_Hall '-P 4 2 3'
_cell_length_a 5.540
_cell_length_b 5.540
_cell_length_c 5.540
_cell_angle_alpha 90.00
_cell_angle_beta 90.00
_cell_angle_gamma 90.00
loop_
_atom_site_label
_atom_site_type_symbol
_atom_site_fract_x
_atom_site_fract_y
_atom_site_fract_z
Rb1 Rb 0.000 0.000 0.500
Sb1 Sb 0.500 0.500 0.500
F1 F 0.000 0.000 0.000
```

The following is a DFT calculation (PBEsol) of a geometry-optimized CoPH2 structure.

Results
Magnetization   0.000 μB/atom
Electronic total energy   -4.671 eV per atom

CIF file:
```
data_CoPH2
_space_group_name_H-M_alt 'I -4 2 d'
_space_group_IT_number 122
_space_group_name_Hall 'I -4 2bw'
_cell_length_a 3.185
_cell_length_b 3.185
_cell_length_c 12.269
_cell_angle_alpha 90.00
_cell_angle_beta 90.00
_cell_angle_gamma 90.00
loop_
_atom_site_label
_atom_site_type_symbol
_atom_site_fract_x
_atom_site_fract_y
_atom_site_fract_z
Co1 Co 0.000 0.000 0.000
P1 P 0.000 0.000 0.500
H1 H 0.182 0.250 0.125
```

The following is a DFT calculation (PBEsol) of a geometry-optimized CrCdOs2 structure.

Results
Magnetization   0.150 μB/atom
Electronic total energy   -8.543 eV per atom

CIF file:
```
data_CrCdOs2
_space_group_name_H-M_alt 'C 1 2/m 1'
_space_group_IT_number 12
_cell_length_a 9.283
_cell_length_b 2.747
_cell_length_c 4.724
_cell_angle_alpha 90.00
_cell_angle_beta 104.72
_cell_angle_gamma 90.00
loop_
_space_group_symop_operation_xyz
'x,y,z'
'-x,-y,-z'
'-x,y,-z'
'x,-y,z'
'x+1/2,y+1/2,z'
'-x+1/2,-y+1/2,-z'
'-x+1/2,y+1/2,-z'
'x+1/2,-y+1/2,z'
loop_
_atom_site_label
_atom_site_type_symbol
_atom_site_fract_x
_atom_site_fract_y
_atom_site_fract_z
Cr1 Cr 0.000 0.000 0.000
Cd1 Cd 0.000 0.500 0.500
Os1 Os 0.225 0.500 0.217
```

The following is a DFT calculation (PBEsol) of a geometry-optimized KZr2Co structure.

Results
Magnetization   0.181 μB/atom
Excess energy over the best structure of this formula in the dataset   0.000 eV/atom

CIF file:
```
data_KZr2Co
_space_group_name_H-M_alt 'P m m m'
_space_group_IT_number 47
_cell_length_a 3.197
_cell_length_b 4.955
_cell_length_c 5.165
_cell_angle_alpha 90.00
_cell_angle_beta 90.00
_cell_angle_gamma 90.00
loop_
_space_group_symop_operation_xyz
'x,y,z'
'-x,-y,-z'
'-x,-y,z'
'x,y,-z'
'x,-y,-z'
'-x,y,z'
'-x,y,-z'
'x,-y,z'
loop_
_atom_site_label
_atom_site_type_symbol
_atom_site_fract_x
_atom_site_fract_y
_atom_site_fract_z
K1 K 0.000 0.000 0.000
Zr1 Zr 0.000 0.500 0.500
Zr2 Zr 0.500 0.500 0.000
Co1 Co 0.500 0.000 0.500
```

The following is a DFT calculation (PBEsol) of a geometry-optimized Mn2SbAs structure.

Results
Magnetization   0.006 μB/atom
Raw formation energy   0.25 eV per atom

CIF file:
```
data_Mn2SbAs
_space_group_name_H-M_alt 'P 4/m m m'
_space_group_IT_number 123
_space_group_name_Hall '-P 4 2'
_cell_length_a 4.257
_cell_length_b 4.257
_cell_length_c 3.034
_cell_angle_alpha 90.00
_cell_angle_beta 90.00
_cell_angle_gamma 90.00
loop_
_atom_site_label
_atom_site_type_symbol
_atom_site_fract_x
_atom_site_fract_y
_atom_site_fract_z
Mn1 Mn 0.000 0.500 0.000
Sb1 Sb 0.000 0.000 0.500
As1 As 0.500 0.500 0.500
```

The following is a DFT calculation (PBEsol) of a geometry-optimized LaSiAs3 structure.

Results
Magnetization   0.000 μB/atom
Excess energy over the best structure of this formula in the dataset   0.017 eV/atom
Raw formation energy   -0.64 eV per atom

CIF file:
```
data_LaSiAs3
_space_group_name_H-M_alt 'P b c a'
_space_group_IT_number 61
_cell_length_a 5.863
_cell_length_b 26.259
_cell_length_c 5.918
_cell_angle_alpha 90.00
_cell_angle_beta 90.00
_cell_angle_gamma 90.00
loop_
_space_group_symop_operation_xyz
'x,y,z'
'-x,-y,-z'
'-x+1/2,-y,z+1/2'
'x+1/2,y,-z+1/2'
'x+1/2,-y+1/2,-z'
'-x+1/2,y+1/2,z'
'-x,y+1/2,-z+1/2'
'x,-y+1/2,z+1/2'
loop_
_atom_site_label
_atom_site_type_symbol
_atom_site_fract_x
_atom_site_fract_y
_atom_site_fract_z
La1 La 0.002 0.090 0.001
Si1 Si 0.101 0.706 0.091
As1 As 0.000 0.210 0.024
As2 As 0.004 0.124 0.505
As3 As 0.250 0.000 0.250
```

The following is a DFT calculation (PBEsol) of a geometry-optimized GaCuSe2 structure.

Results
Magnetization   0.000 μB/atom
Raw formation energy   -0.46 eV per atom

CIF file:
```
data_GaCuSe2
_space_group_name_H-M_alt 'I -4 2 d'
_space_group_IT_number 122
_space_group_name_Hall 'I -4 2bw'
_cell_length_a 5.570
_cell_length_b 5.570
_cell_length_c 11.063
_cell_angle_alpha 90.00
_cell_angle_beta 90.00
_cell_angle_gamma 90.00
loop_
_atom_site_label
_atom_site_type_symbol
_atom_site_fract_x
_atom_site_fract_y
_atom_site_fract_z
Ga1 Ga 0.000 0.000 0.000
Cu1 Cu 0.000 0.000 0.500
Se1 Se 0.242 0.250 0.625
```

The following is a DFT calculation (PBEsol) of a geometry-optimized LiTl2In structure.

Results
Magnetization   0.000 μB/atom
Electronic total energy   -2.668 eV per atom

CIF file:
```
data_LiTl2In
_space_group_name_H-M_alt 'P 4/m m m'
_space_group_IT_number 123
_space_group_name_Hall '-P 4 2'
_cell_length_a 4.711
_cell_length_b 4.711
_cell_length_c 4.366
_cell_angle_alpha 90.00
_cell_angle_beta 90.00
_cell_angle_gamma 90.00
loop_
_atom_site_label
_atom_site_type_symbol
_atom_site_fract_x
_atom_site_fract_y
_atom_site_fract_z
Li1 Li 0.000 0.000 0.000
Tl1 Tl 0.000 0.500 0.500
In1 In 0.500 0.500 0.000
```

The following is a DFT calculation (PBEsol) of a geometry-optimized Cd2CuPb structure.

Results
Magnetization   0.000 μB/atom
Electronic total energy   -2.452 eV per atom

CIF file:
```
data_Cd2CuPb
_space_group_name_H-M_alt 'I -4 m 2'
_space_group_IT_number 119
_space_group_name_Hall 'I -4 -2'
_cell_length_a 4.394
_cell_length_b 4.394
_cell_length_c 8.523
_cell_angle_alpha 90.00
_cell_angle_beta 90.00
_cell_angle_gamma 90.00
loop_
_atom_site_label
_atom_site_type_symbol
_atom_site_fract_x
_atom_site_fract_y
_atom_site_fract_z
Cd1 Cd 0.000 0.000 0.000
Cd2 Cd 0.000 0.500 0.250
Cu1 Cu 0.000 0.000 0.500
Pb1 Pb 0.000 0.500 0.750
```

The following is a DFT calculation (PBEsol) of a geometry-optimized Tl2NiTeH structure.

Results
Magnetization   0.133 μB/atom
Electronic total energy   -2.815 eV per atom

CIF file:
```
data_Tl2NiTeH
_space_group_name_H-M_alt 'P 4/m m m'
_space_group_IT_number 123
_space_group_name_Hall '-P 4 2'
_cell_length_a 5.847
_cell_length_b 5.847
_cell_length_c 3.642
_cell_angle_alpha 90.00
_cell_angle_beta 90.00
_cell_angle_gamma 90.00
loop_
_atom_site_label
_atom_site_type_symbol
_atom_site_fract_x
_atom_site_fract_y
_atom_site_fract_z
Tl1 Tl 0.000 0.500 0.000
Ni1 Ni 0.000 0.000 0.500
Te1 Te 0.500 0.500 0.000
H1 H 0.500 0.500 0.500
```

The following is a DFT calculation (PBEsol) of a geometry-optimized Sr3MgTa structure.

Results
Magnetization   0.831 μB/atom
Excess energy over the best structure of this formula in the dataset   0.392 eV/atom

CIF file:
```
data_Sr3MgTa
_space_group_name_H-M_alt 'P m -3 m'
_space_group_IT_number 221
_space_group_name_Hall '-P 4 2 3'
_cell_length_a 6.056
_cell_length_b 6.056
_cell_length_c 6.056
_cell_angle_alpha 90.00
_cell_angle_beta 90.00
_cell_angle_gamma 90.00
loop_
_atom_site_label
_atom_site_type_symbol
_atom_site_fract_x
_atom_site_fract_y
_atom_site_fract_z
Sr1 Sr 0.000 0.000 0.500
Mg1 Mg 0.000 0.000 0.000
Ta1 Ta 0.500 0.500 0.500
```

The following is a DFT calculation (PBEsol) of a geometry-optimized BeMoIr2 structure.

Results
Magnetization   0.000 μB/atom
Electronic total energy   -9.054 eV per atom

CIF file:
```
data_BeMoIr2
_space_group_name_H-M_alt 'I m m 2'
_space_group_IT_number 44
_cell_length_a 2.819
_cell_length_b 4.294
_cell_length_c 8.499
_cell_angle_alpha 90.00
_cell_angle_beta 90.00
_cell_angle_gamma 90.00
loop_
_space_group_symop_operation_xyz
'x,y,z'
'-x,-y,z'
'-x,y,z'
'x,-y,z'
'x+1/2,y+1/2,z+1/2'
'-x+1/2,-y+1/2,z+1/2'
'-x+1/2,y+1/2,z+1/2'
'x+1/2,-y+1/2,z+1/2'
loop_
_atom_site_label
_atom_site_type_symbol
_atom_site_fract_x
_atom_site_fract_y
_atom_site_fract_z
Be1 Be 0.000 0.000 0.000
Mo1 Mo 0.000 0.500 0.265
Ir1 Ir 0.000 0.000 0.489
Ir2 Ir 0.000 0.500 0.707
```

The following is a DFT calculation (PBEsol) of a geometry-optimized Li3MnV4O12 structure.

Results
Magnetization   0.304 μB/atom
Raw formation energy   -2.24 eV per atom

CIF file:
```
data_Li3MnV4O12
_space_group_name_H-M_alt 'C 1 2 1'
_space_group_IT_number 5
_cell_length_a 9.882
_cell_length_b 9.265
_cell_length_c 5.614
_cell_angle_alpha 90.00
_cell_angle_beta 111.34
_cell_angle_gamma 90.00
loop_
_space_group_symop_operation_xyz
'x,y,z'
'-x,y,-z'
'x+1/2,y+1/2,z'
'-x+1/2,y+1/2,-z'
loop_
_atom_site_label
_atom_site_type_symbol
_atom_site_fract_x
_atom_site_fract_y
_atom_site_fract_z
Li1 Li 0.000 0.000 0.000
Li2 Li 0.000 0.114 0.500
Li3 Li 0.000 0.674 0.000
Mn1 Mn 0.000 0.798 0.500
V1 V 0.191 0.299 0.985
V2 V 0.196 0.484 0.484
O1 O 0.119 0.971 0.413
O2 O 0.121 0.137 0.877
O3 O 0.123 0.794 0.878
O4 O 0.126 0.652 0.388
O5 O 0.129 0.361 0.226
O6 O 0.141 0.427 0.734
```

The following is a DFT calculation (PBEsol) of a geometry-optimized SiTe2 structure.

Results
Magnetization   0.000 μB/atom
Raw formation energy   0.04 eV per atom

CIF file:
```
data_SiTe2
_space_group_name_H-M_alt 'P 63/m m c'
_space_group_IT_number 194
_space_group_name_Hall '-P 6c 2c'
_cell_length_a 3.7375
_cell_length_b 3.7375
_cell_length_c 14.8755
_cell_angle_alpha 90.00
_cell_angle_beta 90.00
_cell_angle_gamma 120.00
loop_
_atom_site_label
_atom_site_type_symbol
_atom_site_fract_x
_atom_site_fract_y
_atom_site_fract_z
Si1 Si 0.0000 0.0000 0.0000
Te1 Te 0.3333 0.6667 0.1093
```

The following is a DFT calculation (PBEsol) of a geometry-optimized ReAgOs structure.

Results
Magnetization   0.000 μB/atom
Excess energy over the best structure of this formula in the dataset   0.549 eV/atom

CIF file:
```
data_ReAgOs
_space_group_name_H-M_alt 'F -4 3 m'
_space_group_IT_number 216
_space_group_name_Hall 'F -4 2 3'
_cell_length_a 5.952
_cell_length_b 5.952
_cell_length_c 5.952
_cell_angle_alpha 90.00
_cell_angle_beta 90.00
_cell_angle_gamma 90.00
loop_
_atom_site_label
_atom_site_type_symbol
_atom_site_fract_x
_atom_site_fract_y
_atom_site_fract_z
Re1 Re 0.000 0.000 0.000
Ag1 Ag 0.250 0.250 0.250
Os1 Os 0.250 0.250 0.750
```